Compound: CaIr2Ru
Source: Alexandria via LeMat-Bulk
Functional: PBE
Structure: relaxed

extended XYZ file:
```
4
Lattice="2.836 0.000 0.000 0.000 2.836 0.000 0.000 0.000 8.303" Properties=species:S:1:pos:R:3 pbc="T T T"
Ca 0.000 0.000 0.000
Ir 0.000 0.000 4.160
Ir 1.418 1.418 2.316
Ru 1.418 1.418 5.898
```

Summary:
**Polymorph energy (0 for the lowest one)**: 147.7 meV per atom
**SG**: P4mm
**Energy of formation from the pure elements**: 0.64 eV per formula unit


Compound: Tb4Y6Tm19
Source: Alexandria via LeMat-Bulk
Functional: PBE
Structure: relaxed

extended XYZ file:
```
29
Lattice="-6.173 6.173 6.173 6.173 -6.173 6.173 6.173 6.173 -6.173" Properties=species:S:1:pos:R:3 pbc="T T T"
Tb 2.210 2.210 -2.210
Tb 2.210 -2.210 2.210
Tb -2.210 2.210 2.210
Tb 3.963 3.963 3.963
Y 6.173 1.622 0.000
Y 6.173 0.000 4.551
Y 4.551 6.173 0.000
Y 1.622 0.000 6.173
Y 0.000 6.173 1.622
Y 0.000 4.551 6.173
Tm 0.000 0.000 0.000
Tm 3.218 0.000 0.000
Tm 9.128 0.000 0.000
Tm 5.378 2.983 -2.779
Tm 8.952 -0.795 3.190
Tm 2.983 -2.779 5.378
Tm 0.000 3.218 0.000
Tm 0.000 0.000 3.218
Tm 3.394 0.795 3.190
Tm 3.190 3.394 0.795
Tm 6.968 2.983 2.779
Tm 0.795 3.190 3.394
Tm 3.190 8.952 -0.795
Tm -2.779 5.378 2.983
Tm 0.000 9.128 0.000
Tm 0.000 0.000 9.128
Tm 2.983 2.779 6.968
Tm 2.779 6.968 2.983
Tm -0.795 3.190 8.952
```

Summary:
**SG**: I23
**Energy of formation from the pure elements**: 11.37 eV per formula unit


Compound: GdDyPuGa
Source: Alexandria via LeMat-Bulk
Functional: PBE
Structure: relaxed

extended XYZ file:
```
4
Lattice="0.000 3.717 3.717 3.717 0.000 3.717 3.717 3.717 0.000" Properties=species:S:1:pos:R:3 pbc="T T T"
Gd 0.000 0.000 0.000
Dy 3.717 3.717 3.717
Pu 1.858 1.858 1.858
Ga 5.575 5.575 5.575
```

Summary:
**SG**: F-43m
**Energy of formation from the pure elements**: -0.15 eV per formula unit


Compound: BaZn2Ni2
Source: Alexandria via LeMat-Bulk
Functional: PBE
Structure: relaxed

extended XYZ file:
```
10
Lattice="7.648 0.000 0.000 0.000 7.648 0.000 0.000 0.000 2.982" Properties=species:S:1:pos:R:3 pbc="T T T"
Ba 0.000 0.000 0.000
Ba 3.824 3.824 0.000
Zn 0.951 2.873 1.491
Zn 2.873 6.697 1.491
Zn 4.775 0.951 1.491
Zn 6.697 4.775 1.491
Ni 1.186 5.010 0.000
Ni 2.638 1.186 0.000
Ni 5.010 6.462 0.000
Ni 6.462 2.638 0.000
```

Summary:
**Polymorph energy (0 for the lowest one)**: 167.8 meV per atom
**SG**: P4/mbm
**Energy of formation from the pure elements**: 0.38 eV per formula unit